First-principles (PBE) data for a geometry-optimized YNi5 structure, as listed in the Alexandria database.

Values from the calculation:
As for the formation energy: 21 meV per atom. As for the space group: P4/mmm (123).

Unit cell a=3.0701 b=3.0701 c=8.5926 alpha=90.00 beta=90.00 gamma=90.00
Each line ends with the local moment (μB).
Element x y z (fractional)
Ni  0.0000  0.0000  0.5000  0.48
Ni  0.0000  0.0000  0.2188  0.21
Ni  0.5000  0.5000  0.3543  0.52
Ni  0.5000  0.5000  0.6457  0.52
Y  0.5000  0.5000  0.0000  -0.05
Ni  0.0000  0.0000  0.7812  0.21